# meta-GGA SCAN TlGeNF2, single point on PBEsol structure
# Space group = P4/mmm
# Uncorrected formation energy = -0.9495 eV/atom
data_TlGeNF2
_cell_length_a 4.4336
_cell_length_b 4.4336
_cell_length_c 3.4404
_cell_angle_alpha 90.00
_cell_angle_beta 90.00
_cell_angle_gamma 90.00
_symmetry_space_group_name_H-M 'P 1'
_symmetry_Int_Tables_number 1
loop_
_symmetry_equiv_pos_as_xyz
'x,y,z'
loop_
_atom_site_label
_atom_site_type_symbol
_atom_site_fract_x
_atom_site_fract_y
_atom_site_fract_z
_atom_site_occupancy
Tl1 Tl 0.0000 0.0000 0.0000 1
Ge1 Ge 0.5000 0.5000 0.5000 1
N1 N 0.5000 0.5000 0.0000 1
F1 F 0.0000 0.5000 0.5000 1
F2 F 0.5000 0.0000 0.5000 1

# meta-GGA SCAN Na3GeF, single point on PBEsol structure
# Space group = Pm-3m
# Uncorrected formation energy = -1.0622 eV/atom
data_Na3GeF
_cell_length_a 4.6054
_cell_length_b 4.6054
_cell_length_c 4.6054
_cell_angle_alpha 90.00
_cell_angle_beta 90.00
_cell_angle_gamma 90.00
_symmetry_space_group_name_H-M 'P 1'
_symmetry_Int_Tables_number 1
loop_
_symmetry_equiv_pos_as_xyz
'x,y,z'
loop_
_atom_site_label
_atom_site_type_symbol
_atom_site_fract_x
_atom_site_fract_y
_atom_site_fract_z
_atom_site_occupancy
Na1 Na 0.0000 0.0000 0.5000 1
Na2 Na 0.0000 0.5000 0.0000 1
Na3 Na 0.5000 0.0000 0.0000 1
Ge1 Ge 0.5000 0.5000 0.5000 1
F1 F 0.0000 0.0000 0.0000 1

# meta-GGA SCAN NaZnGe2F, single point on PBEsol structure
# Space group = P4/mmm
# Uncorrected formation energy = -0.0336 eV/atom
data_NaZnGe2F
_cell_length_a 4.5731
_cell_length_b 4.5731
_cell_length_c 4.6610
_cell_angle_alpha 90.00
_cell_angle_beta 90.00
_cell_angle_gamma 90.00
_symmetry_space_group_name_H-M 'P 1'
_symmetry_Int_Tables_number 1
loop_
_symmetry_equiv_pos_as_xyz
'x,y,z'
loop_
_atom_site_label
_atom_site_type_symbol
_atom_site_fract_x
_atom_site_fract_y
_atom_site_fract_z
_atom_site_occupancy
Na1 Na 0.0000 0.0000 0.0000 1
Zn1 Zn 0.5000 0.5000 0.0000 1
Ge1 Ge 0.0000 0.5000 0.5000 1
Ge2 Ge 0.5000 0.0000 0.5000 1
F1 F 0.5000 0.5000 0.5000 1